Bi3Pb8 | PBE | optimized geometry

Values from the calculation:
DFT formation energy: 0.127 eV/atom
size of the total moment: 0.000 μB per atom
energy above the most stable polymorph in this dataset: 10.4 kJ/mol of atoms

Lattice parameters (Å, degrees): 7.371 7.371 7.371 96.22 96.22 96.22
Fractional coordinates of all 11 atoms:
Bi 0.500 0.000 0.500
Bi 0.000 0.500 0.500
Bi 0.500 0.500 0.000
Pb 0.880 0.330 0.078
Pb 0.330 0.078 0.880
Pb 0.078 0.880 0.330
Pb 0.356 0.356 0.356
Pb 0.644 0.644 0.644
Pb 0.922 0.120 0.670
Pb 0.670 0.922 0.120
Pb 0.120 0.670 0.922